! Tc3NiN, optimized geometry, DFT PBE-GGA; values from VASP
&SYSTEM
  ibrav = 0, nat = 5, ntyp = 3
/
ATOMIC_SPECIES
Ni 58.69 Ni.upf
Tc 98.00 Tc.upf
N 14.01 N.upf
ATOMIC_POSITIONS crystal
Ni 0.5000 0.5000 0.5000
Tc 0.0000 0.5000 0.0000
Tc 0.0000 0.0000 0.5000
Tc 0.5000 0.0000 0.0000
N 0.0000 0.0000 0.0000
CELL_PARAMETERS angstrom
3.9879 0.0000 0.0000
0.0000 3.9879 0.0000
0.0000 0.0000 3.9879
! - Volume: 63.4 Å³/f.u.
! - Polymorph energy (0 for the lowest one): 0 meV/atom
! - DOS at the Fermi energy: 4.29 states/eV/cell
! - Crystal system: cubic
! - Formation energy without anion corrections: 0.092 eV per atom
! - DFT total energy: -44.745 eV per cell
! - Density: 9.601 g/cm3
! - Space-group type: Pm-3m, No. 221